1.
CsPaTlO5 | PBE-GGA | relaxed

Properties
- crystal system = monoclinic
- raw total energy (eV per atom) = -6.653
- ΔE_f (raw) (eV/atom) = -1.964

CIF file:
```
data_CsPaTlO5
_chemical_formula_sum 'Cs4 Pa4 Tl4 O20'
_cell_length_a 8.0982
_cell_length_b 10.8386
_cell_length_c 8.4536
_cell_angle_alpha 90.00
_cell_angle_beta 115.84
_cell_angle_gamma 90.00
_space_group_name_H-M_alt 'C 1 2/c 1'
_space_group_IT_number 15
_space_group_name_Hall '-C 2yc'
loop_
_atom_site_label
_atom_site_type_symbol
_atom_site_fract_x
_atom_site_fract_y
_atom_site_fract_z
_atom_site_occupancy
Cs1 Cs 0.0000 0.1731 0.2500 1
Pa1 Pa 0.0000 0.5000 0.0000 1
Tl1 Tl 0.0000 0.1911 0.7500 1
O1 O 0.0000 0.4553 0.2500 1
O2 O 0.0818 0.3155 0.5955 1
O3 O 0.2228 0.0637 0.8963 1
```

2.
Ba5Na2In2 | PBE-GGA | relaxed

Properties
- crystal system = orthorhombic
- raw total energy (eV per atom) = -2.152

CIF file:
```
data_Ba5Na2In2
_chemical_formula_sum 'Ba20 Na8 In8'
_cell_length_a 19.9454
_cell_length_b 9.4640
_cell_length_c 9.4857
_cell_angle_alpha 90.00
_cell_angle_beta 90.00
_cell_angle_gamma 90.00
_space_group_name_H-M_alt 'C m c e'
_space_group_IT_number 64
_space_group_name_Hall '-C 2ac 2'
loop_
_atom_site_label
_atom_site_type_symbol
_atom_site_fract_x
_atom_site_fract_y
_atom_site_fract_z
_atom_site_occupancy
Ba1 Ba 0.0000 0.0000 0.0000 1
Ba2 Ba 0.1184 0.1761 0.3238 1
Na1 Na 0.2192 0.0000 0.0000 1
In1 In 0.0000 0.1161 0.6155 1
```

3.
RbBa2CaAu | PBE-GGA | relaxed

Properties
- crystal system = tetragonal
- ΔE to the lowest computed polymorph (eV per atom) = 0.136
- raw total energy (eV per atom) = -2.151

CIF file:
```
data_RbBa2CaAu
_chemical_formula_sum 'Rb1 Ba2 Ca1 Au1'
_cell_length_a 6.4645
_cell_length_b 6.4645
_cell_length_c 6.6704
_cell_angle_alpha 90.00
_cell_angle_beta 90.00
_cell_angle_gamma 90.00
_space_group_name_H-M_alt 'P 4/m m m'
_space_group_IT_number 123
_space_group_name_Hall '-P 4 2'
loop_
_atom_site_label
_atom_site_type_symbol
_atom_site_fract_x
_atom_site_fract_y
_atom_site_fract_z
_atom_site_occupancy
Rb1 Rb 0.0000 0.0000 0.0000 1
Ba1 Ba 0.0000 0.5000 0.5000 1
Ca1 Ca 0.5000 0.5000 0.0000 1
Au1 Au 0.0000 0.0000 0.5000 1
```

4.
ZnFeAg | PBE-GGA | relaxed

Properties
- crystal system = cubic
- ΔE to the lowest computed polymorph (eV per atom) = 0.554
- raw total energy (eV per atom) = -3.624

CIF file:
```
data_ZnFeAg
_chemical_formula_sum 'Zn4 Fe4 Ag4'
_cell_length_a 5.9628
_cell_length_b 5.9628
_cell_length_c 5.9628
_cell_angle_alpha 90.00
_cell_angle_beta 90.00
_cell_angle_gamma 90.00
_space_group_name_H-M_alt 'F -4 3 m'
_space_group_IT_number 216
_space_group_name_Hall 'F -4 2 3'
loop_
_atom_site_label
_atom_site_type_symbol
_atom_site_fract_x
_atom_site_fract_y
_atom_site_fract_z
_atom_site_occupancy
Zn1 Zn 0.0000 0.0000 0.0000 1
Fe1 Fe 0.2500 0.2500 0.7500 1
Ag1 Ag 0.0000 0.0000 0.5000 1
```

5.
RbNpMn2Te4 | PBE-GGA | relaxed

Properties
- crystal system = orthorhombic
- raw total energy (eV per atom) = -5.830
- ΔE_f (raw) (eV/atom) = -0.229

CIF file:
```
data_RbNpMn2Te4
_chemical_formula_sum 'Rb2 Np2 Mn4 Te8'
_cell_length_a 7.4005
_cell_length_b 7.4110
_cell_length_c 11.5338
_cell_angle_alpha 90.00
_cell_angle_beta 90.00
_cell_angle_gamma 90.00
_space_group_name_H-M_alt 'I 2 2 2'
_space_group_IT_number 23
_space_group_name_Hall 'I 2 2'
loop_
_atom_site_label
_atom_site_type_symbol
_atom_site_fract_x
_atom_site_fract_y
_atom_site_fract_z
_atom_site_occupancy
Rb1 Rb 0.0000 0.0000 0.0000 1
Np1 Np 0.0000 0.0000 0.5000 1
Mn1 Mn 0.0000 0.5000 0.2503 1
Te1 Te 0.2182 0.2185 0.6685 1
```

6.
Na2CaPb | PBE-GGA | relaxed

Properties
- crystal system = trigonal
- raw total energy (eV per atom) = -2.028

CIF file:
```
data_Na2CaPb
_chemical_formula_sum 'Na6 Ca3 Pb3'
_cell_length_a 3.6510
_cell_length_b 3.6510
_cell_length_c 37.3253
_cell_angle_alpha 90.00
_cell_angle_beta 90.00
_cell_angle_gamma 120.00
_space_group_name_H-M_alt 'R -3 m'
_space_group_IT_number 166
_space_group_name_Hall '-R 3 2"'
loop_
_atom_site_label
_atom_site_type_symbol
_atom_site_fract_x
_atom_site_fract_y
_atom_site_fract_z
_atom_site_occupancy
Na1 Na 0.0000 0.0000 0.0954 1
Ca1 Ca 0.0000 0.0000 0.0000 1
Pb1 Pb 0.0000 0.0000 0.5000 1
```

7.
TbGaPt | PBE-GGA | relaxed

Properties
- crystal system = cubic
- raw total energy (eV per atom) = -5.446

CIF file:
```
data_TbGaPt
_chemical_formula_sum 'Tb4 Ga4 Pt4'
_cell_length_a 6.5016
_cell_length_b 6.5016
_cell_length_c 6.5016
_cell_angle_alpha 90.00
_cell_angle_beta 90.00
_cell_angle_gamma 90.00
_space_group_name_H-M_alt 'F -4 3 m'
_space_group_IT_number 216
_space_group_name_Hall 'F -4 2 3'
loop_
_atom_site_label
_atom_site_type_symbol
_atom_site_fract_x
_atom_site_fract_y
_atom_site_fract_z
_atom_site_occupancy
Tb1 Tb 0.0000 0.0000 0.0000 1
Ga1 Ga 0.0000 0.0000 0.5000 1
Pt1 Pt 0.2500 0.2500 0.7500 1
```

8.
Hf6SnB | PBE-GGA | relaxed

Properties
- crystal system = trigonal
- raw total energy (eV per atom) = -9.018

CIF file:
```
data_Hf6SnB
_chemical_formula_sum 'Hf18 Sn3 B3'
_cell_length_a 8.6063
_cell_length_b 8.6063
_cell_length_c 7.7660
_cell_angle_alpha 90.00
_cell_angle_beta 90.00
_cell_angle_gamma 120.00
_space_group_name_H-M_alt 'R -3'
_space_group_IT_number 148
_space_group_name_Hall '-R 3'
loop_
_atom_site_label
_atom_site_type_symbol
_atom_site_fract_x
_atom_site_fract_y
_atom_site_fract_z
_atom_site_occupancy
Hf1 Hf 0.0697 0.8215 0.1649 1
Sn1 Sn 0.0000 0.0000 0.5000 1
B1 B 0.0000 0.0000 0.0000 1
```